[1]
12
Lattice="-0.408 2.642 2.725 -6.141 -1.417 -2.219 -0.809 -7.120 6.784" Properties=species:S:1:pos:R:3 comment="meta-GGA SCAN LuCuPbS3, single point on PBEsol structure" crystal_system=orthorhombic vol_a3_per_atom=20.1 formation_energy_uncorrected_ev_per_atom=-1.24 total_energy_ev_per_cell=-365.3 n_ef_per_ev_fu=0.0 pbc="T T T"
Cu -6.752 -4.109 5.648
Cu -0.605 -1.786 1.642
S -1.793 -0.467 0.185
S -5.564 -5.428 7.105
S -5.260 -2.749 4.553
S -5.603 -1.861 0.967
S -1.754 -4.034 6.323
S -2.097 -3.146 2.737
Pb -3.818 -5.389 4.654
Pb -3.540 -0.506 2.635
Lu -0.608 -2.239 4.754
Lu -0.204 1.321 1.362

[2]
10
Lattice="-7.469 2.665 2.040 -6.516 -2.333 -4.376 -5.456 -5.183 3.227" Properties=species:S:1:pos:R:3 comment="meta-GGA SCAN Cs3HoCl6, single point on PBEsol structure" crystal_system=cubic vol_a3_per_atom=38.8 formation_energy_uncorrected_ev_per_atom=-2.36 total_energy_ev_per_cell=-233.9 n_ef_per_ev_fu=0.0 pbc="T T T"
Cs -4.860 -1.213 0.223
Cs -14.581 -3.639 0.669
Cs -9.721 -2.426 0.446
Cl -10.965 -5.239 -0.435
Cl -7.364 -3.950 1.983
Cl -7.950 -2.375 -2.219
Cl -11.491 -2.477 3.110
Cl -12.077 -0.902 -1.091
Cl -8.476 0.387 1.327
Ho 0.000 0.000 0.000

[3]
4
Lattice="4.616 0.000 0.000 2.308 3.997 0.000 2.308 1.332 3.769" Properties=species:S:1:pos:R:3 comment="meta-GGA SCAN CrSe3, single point on PBEsol structure" crystal_system=cubic vol_a3_per_atom=17.4 formation_energy_uncorrected_ev_per_atom=0.41 total_energy_ev_per_cell=-77.0 n_ef_per_ev_fu=2.7 pbc="T T T"
Se 4.616 2.665 1.884
Se 6.924 3.997 2.827
Se 2.308 1.332 0.942
Cr 0.000 0.000 0.000

[4]
8
Lattice="-2.447 -2.008 -1.851 2.848 -4.327 0.928 -5.422 -0.436 7.641" Properties=species:S:1:pos:R:3 comment="meta-GGA SCAN Zr2Se3S3, single point on PBEsol structure" crystal_system=monoclinic vol_a3_per_atom=22.4 formation_energy_uncorrected_ev_per_atom=-1.28 total_energy_ev_per_cell=-160.7 pbc="T T T"
Se -2.058 -4.552 4.026
Se -3.046 -2.689 6.944
Se -1.712 -1.229 3.596
S 0.316 -4.852 1.212
S -4.091 -0.818 6.296
S -0.824 -3.149 0.873
Zr -3.977 -2.535 4.375
Zr 0.202 -3.243 3.250

[5]
5
Lattice="5.379 0.000 0.000 0.000 5.498 0.000 0.000 0.000 5.498" Properties=species:S:1:pos:R:3 comment="meta-GGA SCAN HfMg2TlP, single point on PBEsol structure" crystal_system=tetragonal vol_a3_per_atom=32.5 delta_e_f_ev_per_fu=7.01 total_energy_ev_per_cell=-148.4 n_ef_per_ev_fu=4.3 pbc="T T T"
Mg 0.000 0.000 2.749
Mg 0.000 2.749 0.000
Tl 2.689 0.000 0.000
P 2.689 2.749 2.749
Hf 0.000 0.000 0.000

[6]
5
Lattice="4.934 0.000 0.000 0.000 4.934 0.000 0.000 0.000 5.418" Properties=species:S:1:pos:R:3 comment="meta-GGA SCAN Al2CrCdIn, single point on PBEsol structure" crystal_system=tetragonal vol_a3_per_atom=26.4 delta_e_f_ev_per_fu=4.56 total_energy_ev_per_cell=-93.1 n_ef_per_ev_fu=2.5 pbc="T T T"
Al 0.000 2.467 0.000
Al 2.467 0.000 0.000
Cd 0.000 0.000 0.000
In 0.000 0.000 2.709
Cr 2.467 2.467 2.709